Computed, not measured: a relaxed MgZnAg2 crystal at the PBE level of DFT.

Properties
Crystal system: hexagonal
Electronic total energy, eV per atom: -2.18

a = 4.6361 Å, b = 4.6361 Å, c = 8.0545 Å
α = 90.00°, β = 90.00°, γ = 120.00°
Sites, in units of the cell vectors:
Ag (0.3333, 0.6667, 0.5818)
Zn (0.6667, 0.3333, 0.7500)
Ag (0.6667, 0.3333, 0.4182)
Zn (0.3333, 0.6667, 0.2500)
Mg (0.0000, 0.0000, 0.0000)
Mg (0.0000, 0.0000, 0.5000)
Ag (0.6667, 0.3333, 0.0818)
Ag (0.3333, 0.6667, 0.9182)